Material: BaNaNbNi
Method: DFT, PBE
State: relaxed

Values from the calculation:
Offset from the most stable computed form (eV/atom): 0.030
Crystal system: cubic
SG: F-43m, No. 216

Lattice parameters (Å, degrees): 4.987 4.987 4.987 60.00 60.00 60.00
Fractional coordinates of all 4 atoms:
Ba 0.000 0.000 0.000
Na 0.250 0.250 0.250
Nb 0.750 0.750 0.750
Ni 0.500 0.500 0.500

Material: BaNaNbNi
Method: DFT, PBE
State: relaxed

Values from the calculation:
Offset from the most stable computed form (eV/atom): 0.215
Crystal system: cubic
SG: F-43m, No. 216

Lattice parameters (Å, degrees): 5.292 5.292 5.292 60.00 60.00 60.00
Fractional coordinates of all 4 atoms:
Ba 0.000 0.000 0.000
Na 0.500 0.500 0.500
Nb 0.250 0.250 0.250
Ni 0.750 0.750 0.750